1.
# ScCd2Ag5 | Alexandria via LeMat-Bulk | PBE | relaxed
# Energy above the lowest structure with this stoichiometry ... 0.0 meV/atom
# DOS(E_F) ... 0.319 states/eV per atom
# Formation enthalpy at 0 K ... -0.86 eV per formula unit
data_ScCd2Ag5
_cell_length_a 5.033
_cell_length_b 5.033
_cell_length_c 7.367
_cell_angle_alpha 115.19
_cell_angle_beta 115.19
_cell_angle_gamma 75.75
_space_group_name_H-M_alt 'P 1'
_space_group_IT_number 1
loop_
_space_group_symop_operation_xyz
'x,y,z'
loop_
_atom_site_label
_atom_site_type_symbol
_atom_site_fract_x
_atom_site_fract_y
_atom_site_fract_z
Ag1 Ag 0.623 0.123 0.246
Cd1 Cd 0.754 0.754 0.508
Ag2 Ag 0.377 0.877 0.754
Ag3 Ag 0.877 0.377 0.754
Ag4 Ag 0.123 0.623 0.246
Cd2 Cd 0.246 0.246 0.492
Sc1 Sc 0.500 0.500 0.000
Ag5 Ag 0.000 0.000 0.000



2.
# ScCdAg | Alexandria via LeMat-Bulk | PBE | relaxed
# DOS(E_F) ... 0.480 states/eV per atom
# Formation enthalpy at 0 K ... -0.63 eV per formula unit
data_ScCdAg
_cell_length_a 4.806
_cell_length_b 4.806
_cell_length_c 3.093
_cell_angle_alpha 90.00
_cell_angle_beta 90.00
_cell_angle_gamma 120.00
_space_group_name_H-M_alt 'P 1'
_space_group_IT_number 1
loop_
_space_group_symop_operation_xyz
'x,y,z'
loop_
_atom_site_label
_atom_site_type_symbol
_atom_site_fract_x
_atom_site_fract_y
_atom_site_fract_z
Cd1 Cd 0.667 0.333 0.166
Sc1 Sc 0.333 0.667 0.666
Ag1 Ag 0.000 0.000 0.167



3.
# Sc2Cd3Ag2 | Alexandria via LeMat-Bulk | PBE | relaxed
# Energy above the lowest structure with this stoichiometry ... 30.0 meV/atom
# DOS(E_F) ... 0.772 states/eV per atom
# Formation enthalpy at 0 K ... -1.12 eV per formula unit
data_Sc2Cd3Ag2
_cell_length_a 3.188
_cell_length_b 4.564
_cell_length_c 10.403
_cell_angle_alpha 102.67
_cell_angle_beta 90.00
_cell_angle_gamma 90.00
_space_group_name_H-M_alt 'P 1'
_space_group_IT_number 1
loop_
_space_group_symop_operation_xyz
'x,y,z'
loop_
_atom_site_label
_atom_site_type_symbol
_atom_site_fract_x
_atom_site_fract_y
_atom_site_fract_z
Sc1 Sc 0.000 0.840 0.680
Cd1 Cd 0.500 0.574 0.149
Ag1 Ag 0.500 0.288 0.576
Ag2 Ag 0.500 0.712 0.424
Cd2 Cd 0.000 0.000 0.000
Sc2 Sc 0.000 0.160 0.320
Cd3 Cd 0.500 0.426 0.851



Number 1: calculated total energy -2.910 eV per atom, spin magnetization 0.000 μB/f.u.. Number 2: calculated total energy -3.576 eV per atom, spin magnetization 0.098 μB/f.u.. Number 3: calculated total energy -3.176 eV per atom, spin magnetization 0.406 μB/f.u..